1.
Density functional theory data (GGA-PBE) for Cs2YSbS4 after structural relaxation.

a b c (Å): 6.996 15.189 25.029
angles (deg): 90.00 90.00 90.00
Space group Fddd (No. 70, origin choice 2)
One atom of each set of equivalent atoms:
Cs1 0.125 0.125 0.307 [16 per cell]
Y1 0.125 0.125 0.125 [8 per cell]
Sb1 0.125 0.125 0.625 [8 per cell]
S1 0.117 0.279 0.427 [32 per cell]

***

2.
Density functional theory data (GGA-PBE) for CsZnSbS3 after structural relaxation.

a b c (Å): 9.669 4.035 9.940
angles (deg): 90.00 107.08 90.00
Space group P2_1/m (No. 11)
One atom of each set of equivalent atoms:
Cs1 0.181 0.250 0.225 [2 per cell]
Zn1 0.092 0.250 0.604 [2 per cell]
Sb1 0.350 0.750 0.862 [2 per cell]
S1 0.157 0.250 0.853 [2 per cell]
S2 0.167 0.750 0.514 [2 per cell]
S3 0.434 0.750 0.122 [2 per cell]

***

3.
Density functional theory data (GGA-PBE) for Cs2ZnSbS4 after structural relaxation.

a b c (Å): 6.275 14.678 24.768
angles (deg): 90.00 90.00 90.00
Space group Fddd (No. 70, origin choice 2)
One atom of each set of equivalent atoms:
Cs1 0.125 0.125 0.303 [16 per cell]
Zn1 0.125 0.125 0.125 [8 per cell]
Sb1 0.125 0.125 0.625 [8 per cell]
S1 0.110 0.280 0.426 [32 per cell]

***

4.
Density functional theory data (GGA-PBE) for Cs2ZrSbS5 after structural relaxation.

a b c (Å): 4.241 19.992 14.595
angles (deg): 90.00 90.00 90.00
Space group Cmc2_1 (No. 36)
One atom of each set of equivalent atoms:
Cs1 0.000 0.125 0.000 [4 per cell]
Cs2 0.000 0.134 0.638 [4 per cell]
Zr1 0.000 0.209 0.352 [4 per cell]
Sb1 0.000 0.435 0.759 [4 per cell]
S1 0.000 0.062 0.351 [4 per cell]
S2 0.000 0.300 0.953 [4 per cell]
S3 0.000 0.315 0.722 [4 per cell]
S4 0.000 0.323 0.321 [4 per cell]
S5 0.000 0.492 0.618 [4 per cell]

***

5.
Density functional theory data (GGA-PBE) for CsZrSbS4 after structural relaxation.

a b c (Å): 6.928 7.461 9.232
angles (deg): 90.00 99.97 90.00
Space group P2_1/m (No. 11)
One atom of each set of equivalent atoms:
Cs1 0.172 0.250 0.092 [2 per cell]
Zr1 0.366 0.250 0.669 [2 per cell]
Sb1 0.136 0.750 0.398 [2 per cell]
S1 0.129 0.012 0.697 [4 per cell]
S2 0.305 0.750 0.172 [2 per cell]
S3 0.445 0.250 0.434 [2 per cell]

***

6.
Density functional theory data (GGA-PBE) for Cs3ScS3 after structural relaxation.

a b c (Å): 8.524 14.166 11.055
angles (deg): 90.00 126.99 90.00
Space group P2_1/c (No. 14)
One atom of each set of equivalent atoms:
Cs1 0.108 0.135 0.481 [4 per cell]
Cs2 0.141 0.083 0.882 [4 per cell]
Cs3 0.359 0.684 0.559 [4 per cell]
Sc1 0.440 0.058 0.342 [4 per cell]
S1 0.158 0.162 0.193 [4 per cell]
S2 0.363 0.603 0.885 [4 per cell]
S3 0.379 0.546 0.261 [4 per cell]

***

7.
Density functional theory data (GGA-PBE) for CsScS3 after structural relaxation.

a b c (Å): 17.318 5.054 7.021
angles (deg): 90.00 105.73 90.00
Space group C2/m (No. 12)
One atom of each set of equivalent atoms:
Cs1 0.227 0.000 0.244 [4 per cell]
Sc1 0.000 0.500 0.000 [2 per cell]
Sc2 0.000 0.500 0.500 [2 per cell]
S1 0.086 0.210 0.807 [8 per cell]
S2 0.108 0.500 0.323 [4 per cell]

***

8.
Density functional theory data (GGA-PBE) for CsSc2S3 after structural relaxation.

a b c (Å): 8.599 3.728 9.947
angles (deg): 90.00 102.29 90.00
Space group P2_1/m (No. 11)
One atom of each set of equivalent atoms:
Cs1 0.028 0.250 0.314 [2 per cell]
Sc1 0.347 0.250 0.019 [2 per cell]
Sc2 0.482 0.250 0.665 [2 per cell]
S1 0.242 0.750 0.146 [2 per cell]
S2 0.332 0.750 0.510 [2 per cell]
S3 0.379 0.750 0.836 [2 per cell]

***

Taking the records one at a time from the top gives calculated total energy values of -4.6779 -3.8399 -3.6831 -4.8714 -5.2471 -4.4974 -5.1408 -5.9337 eV per atom.